[1]
The following is a DFT calculation (PBE-GGA) of a relaxed ZrNbI2O crystal.

Results
The energy above the most stable polymorph in this dataset comes out at 6.4 kJ per mole of atoms. The calculation puts the uncorrected formation energy at -0.25 eV per atom. For the total energy, the calculation gives -27.922 eV per cell. As for the symmetry: No. 123. The crystal system is tetragonal. For the theoretical density, the calculation gives 5.88 g/cm³.

Cell: 5.756 5.756 3.871 Å, 90.00 90.00 90.00°
Fractional coordinates of all 5 atoms:
Zr 0.000 0.000 0.000
Nb 0.500 0.500 0.500
I 0.000 0.500 0.500
I 0.500 0.000 0.500
O 0.500 0.500 0.000

[2]
The following is a DFT calculation (PBE-GGA) of a relaxed Ac2PrNd3Te6 crystal.

Results
The calculation puts the uncorrected formation energy at -1.44 eV per atom. For the total energy, the calculation gives -63.478 eV per cell. As for the symmetry: No. 12. The crystal system is monoclinic. For the theoretical density, the calculation gives 7.29 g/cm³.

Cell: 10.247 10.247 9.219 Å, 103.21 103.21 25.73°
Fractional coordinates of all 12 atoms:
Ac 0.165 0.165 0.330
Ac 0.835 0.835 0.670
Pr 0.500 0.500 0.000
Nd 0.168 0.168 0.836
Nd 0.500 0.500 0.500
Nd 0.832 0.832 0.164
Te 0.005 0.005 0.750
Te 0.334 0.334 0.927
Te 0.336 0.336 0.408
Te 0.664 0.664 0.592
Te 0.666 0.666 0.073
Te 0.995 0.995 0.250

[3]
The following is a DFT calculation (PBE-GGA) of a relaxed SrLa2SiBi crystal.

Results
The calculation puts the uncorrected formation energy at 0.82 eV per atom. For the total energy, the calculation gives -16.727 eV per cell. As for the symmetry: No. 123. The crystal system is tetragonal. For the theoretical density, the calculation gives 5.51 g/cm³.

Cell: 5.861 5.861 5.285 Å, 90.00 90.00 90.00°
Fractional coordinates of all 5 atoms:
Sr 0.000 0.000 0.000
La 0.000 0.500 0.000
La 0.500 0.000 0.000
Si 0.000 0.000 0.500
Bi 0.500 0.500 0.500

[4]
The following is a DFT calculation (PBE-GGA) of a relaxed TmSnAu crystal.

Results
For the total energy, the calculation gives -14.254 eV per cell. As for the symmetry: No. 216. The crystal system is cubic. For the calculated formation energy, the calculation gives -2.50 eV per formula unit. For the theoretical density, the calculation gives 10.83 g/cm³.

Cell: 4.720 4.720 4.720 Å, 60.00 60.00 60.00°
Fractional coordinates of all 3 atoms:
Tm 0.000 0.000 0.000
Sn 0.500 0.500 0.500
Au 0.250 0.250 0.250

[5]
The following is a DFT calculation (PBE-GGA) of a relaxed Li6Mg2Ir crystal.

Results
For the total energy, the calculation gives -24.109 eV per cell. As for the symmetry: No. 12. The crystal system is monoclinic. For the calculated formation energy, the calculation gives -0.58 eV per formula unit. For the theoretical density, the calculation gives 2.89 g/cm³.

Cell: 7.958 7.958 3.129 Å, 94.30 94.30 123.96°
Fractional coordinates of all 9 atoms:
Li 0.005 0.329 0.354
Li 0.211 0.211 0.879
Li 0.329 0.005 0.354
Li 0.671 0.995 0.646
Li 0.789 0.789 0.121
Li 0.995 0.671 0.646
Mg 0.347 0.653 0.000
Mg 0.653 0.347 0.000
Ir 0.500 0.500 0.500

[6]
The following is a DFT calculation (PBE-GGA) of a relaxed Li2CrIr crystal.

Results
The energy above the most stable polymorph in this dataset comes out at 9.8 kJ per mole of atoms. For the total energy, the calculation gives -21.825 eV per cell. As for the symmetry: No. 123. The crystal system is tetragonal. For the calculated formation energy, the calculation gives 0.49 eV per formula unit. For the theoretical density, the calculation gives 7.73 g/cm³.

Cell: 3.548 3.548 4.405 Å, 90.00 90.00 90.00°
Fractional coordinates of all 4 atoms:
Li 0.000 0.500 0.000
Li 0.500 0.000 0.000
Cr 0.000 0.000 0.500
Ir 0.500 0.500 0.500

[7]
The following is a DFT calculation (PBE-GGA) of a relaxed HfReI3 crystal.

Results
The energy above the most stable polymorph in this dataset comes out at 0.0 kJ per mole of atoms. The calculation puts the uncorrected formation energy at 1.05 eV per atom. For the total energy, the calculation gives -21.817 eV per cell. As for the symmetry: No. 221. The crystal system is cubic. For the theoretical density, the calculation gives 6.74 g/cm³.

Cell: 5.684 5.684 5.684 Å, 90.00 90.00 90.00°
Fractional coordinates of all 5 atoms:
Hf 0.000 0.000 0.000
Re 0.500 0.500 0.500
I 0.000 0.000 0.500
I 0.000 0.500 0.000
I 0.500 0.000 0.000

Copy entry 2 word for word.
The following is a DFT calculation (PBE-GGA) of a relaxed Ac2PrNd3Te6 crystal.

Results
The calculation puts the uncorrected formation energy at -1.44 eV per atom. For the total energy, the calculation gives -63.478 eV per cell. As for the symmetry: No. 12. The crystal system is monoclinic. For the theoretical density, the calculation gives 7.29 g/cm³.

Cell: 10.247 10.247 9.219 Å, 103.21 103.21 25.73°
Fractional coordinates of all 12 atoms:
Ac 0.165 0.165 0.330
Ac 0.835 0.835 0.670
Pr 0.500 0.500 0.000
Nd 0.168 0.168 0.836
Nd 0.500 0.500 0.500
Nd 0.832 0.832 0.164
Te 0.005 0.005 0.750
Te 0.334 0.334 0.927
Te 0.336 0.336 0.408
Te 0.664 0.664 0.592
Te 0.666 0.666 0.073
Te 0.995 0.995 0.250

The highest theoretical density belongs to which entry?
TmSnAu